{
  "formula": "Tb2InBi",
  "functional": "PBE",
  "state": "optimized geometry",
  "cell": [[4.5149, 0.0000, -0.0265], [0.0000, 4.4199, 0.0000], [-2.2188, 0.0000, 5.8650]],
  "species": ["In", "Bi", "Tb", "Tb"],
  "fractional_positions": [[0.6835, 0.0000, 0.9070], [0.4878, 0.5000, 0.5135], [0.2120, 0.5000, 0.9643], [0.9478, 0.0000, 0.4333]],
  "magnetic_moment_mub_per_cell": 0.00,
  "sg": "Pm",
  "formation_energy_ev_per_atom": -0.581,
  "dft_energy_ev_per_atom": -4.551
}

=====

{
  "formula": "Tb6In2Bi",
  "functional": "PBE",
  "state": "optimized geometry",
  "cell": [[4.0566, 0.0000, 0.0000], [0.0000, 8.7367, 0.0000], [0.0000, -4.3684, 7.5643]],
  "species": ["Tb", "Tb", "Tb", "Tb", "Tb", "Tb", "Bi", "In", "In"],
  "fractional_positions": [[0.0000, 0.9998, 0.2788], [0.0000, 0.2792, 0.0000], [0.5000, 0.0000, 0.6072], [0.0000, 0.7209, 0.7212], [0.5000, 0.3928, 0.3928], [0.5000, 0.6072, 0.0000], [0.5000, 0.0002, 0.0000], [0.0000, 0.6667, 0.3335], [0.0000, 0.3332, 0.6665]],
  "magnetic_moment_mub_per_cell": 1.71,
  "sg": "P-62m",
  "formation_energy_ev_per_atom": -0.395,
  "dft_energy_ev_per_atom": -4.521
}

=====

{
  "formula": "In2TcBi",
  "functional": "PBE",
  "state": "optimized geometry",
  "cell": [[-0.6272, -0.2065, 3.1287], [2.1920, -1.2015, 1.9942], [4.8340, 9.9772, 3.2615]],
  "species": ["Bi", "In", "In", "Tc"],
  "fractional_positions": [[0.5000, 0.5000, 0.5000], [0.9206, 0.9206, 0.2382], [0.0794, 0.0794, 0.7618], [0.0000, 0.0000, 0.0000]],
  "magnetic_moment_mub_per_cell": 1.71,
  "sg": "R-3m",
  "formation_energy_ev_per_atom": 0.764,
  "dft_energy_ev_per_atom": -4.167
}